# 1
Here is K2TlOs after structural relaxation from Alexandria. Energies are from PBE-GGA.

Values from the calculation:
Energy of formation   80.8 kJ per mole of atoms
Density   6.711 g/cm³
E above lowest polymorph   135 meV per atom
Magnetic moment   0.00 μB per cell

```
K2TlOs
1.0
-4.9369 -2.2193 3.9556
-2.6905 -1.9338 5.8281
-2.7637 5.1474 2.5307
Os Tl K
1 1 2
direct
0.5412 0.5412 0.5278
0.2010 0.2010 0.2340
0.9733 0.9733 0.0591
0.7845 0.7845 0.6791
```


# 2
Here is Sr2Ag2Pb3 after structural relaxation from Alexandria. Energies are from PBE-GGA.

Values from the calculation:
Energy of formation   -28.4 kJ per mole of atoms
Density   8.000 g/cm³
Magnetic moment   0.00 μB per cell

```
Sr2Ag2Pb3
1.0
4.7006 0.0000 0.0000
-2.3503 5.3813 -1.9073
0.0000 -0.3172 8.4217
Pb Sr Ag
3 2 2
direct
0.3731 0.7462 0.5525
0.6269 0.2538 0.4475
0.5000 0.0000 0.0000
0.1429 0.2858 0.7925
0.8571 0.7142 0.2075
0.1532 0.3065 0.2226
0.8468 0.6935 0.7774
```


# 3
Here is AlTlV2Hg after structural relaxation from Alexandria. Energies are from PBE-GGA.

Values from the calculation:
Energy of formation   98.3 kJ per mole of atoms
Density   7.453 g/cm³
Magnetic moment   5.45 μB per cell

```
AlTlV2Hg
1.0
4.9254 0.0000 0.0000
0.0000 4.9031 0.0000
0.0000 0.0000 4.9254
V Al Hg Tl
2 1 1 1
direct
0.5000 0.0000 0.0000
0.0000 0.0000 0.5000
0.0000 0.0000 0.0000
0.0000 0.5000 0.0000
0.5000 0.5000 0.5000
```


# 4
Here is Ac2SbH2 after structural relaxation from Alexandria. Energies are from PBE-GGA.

Values from the calculation:
Density   8.164 g/cm³
Uncorrected energy   -23.0 eV/cell
Magnetic moment   0.00 μB per cell

```
Ac2SbH2
1.0
-1.1635 -3.9435 0.9402
3.0576 -0.2113 2.8975
-5.1169 4.3971 2.6505
H Ac Sb
2 2 1
direct
0.7500 0.2500 0.5000
0.2500 0.7500 0.5000
0.6411 0.6411 0.2821
0.3589 0.3589 0.7179
0.0000 0.0000 0.0000
```


# 5
Here is LaTb2Rh after structural relaxation from Alexandria. Energies are from PBE-GGA.

Values from the calculation:
Energy of formation   -38.8 kJ per mole of atoms
Density   8.380 g/cm³
E above lowest polymorph   94 meV per atom
Magnetic moment   0.00 μB per cell

```
LaTb2Rh
1.0
3.5231 0.0000 0.0000
0.0000 3.5231 0.0000
0.0000 0.0000 8.9350
Tb Rh La
2 1 1
direct
0.0000 0.0000 0.8176
0.0000 0.0000 0.1824
0.5000 0.5000 0.0000
0.5000 0.5000 0.5000
```


# 6
Here is KNiHg4 after structural relaxation from Alexandria. Energies are from PBE-GGA.

Values from the calculation:
Energy of formation   28.6 kJ per mole of atoms
Density   9.406 g/cm³
Magnetic moment   0.63 μB per cell

```
KNiHg4
1.0
-2.7383 -5.0548 1.9786
-3.2272 0.1083 5.1515
-6.0598 -0.4515 -0.1990
Hg Ni K
4 1 1
direct
0.8771 0.3743 0.3743
0.3743 0.3743 0.8771
0.3743 0.3743 0.3743
0.3743 0.8771 0.3743
0.0000 0.0000 0.0000
0.7500 0.7500 0.7500
```


# 7
Here is HoSc2Co after structural relaxation from Alexandria. Energies are from PBE-GGA.

Values from the calculation:
Energy of formation   -17.8 kJ per mole of atoms
Density   5.967 g/cm³
E above lowest polymorph   17 meV per atom
Magnetic moment   0.00 μB per cell

```
HoSc2Co
1.0
-0.6371 -0.4354 3.3763
-5.1605 -0.9971 -2.8799
2.0437 -8.5185 -0.7129
Ho Sc Co
2 4 2
direct
0.9253 0.8504 0.2500
0.0747 0.1496 0.7500
0.6437 0.2875 0.0704
0.3563 0.7125 0.5704
0.3563 0.7125 0.9296
0.6437 0.2875 0.4296
0.2435 0.4869 0.2500
0.7565 0.5131 0.7500
```


# 8
Here is CaZrNi2 after structural relaxation from Alexandria. Energies are from PBE-GGA.

Values from the calculation:
Energy of formation   0.7 kJ per mole of atoms
Density   5.804 g/cm³
Magnetic moment   0.00 μB per cell

```
CaZrNi2
1.0
5.8677 -0.0057 0.0145
3.3512 4.8166 -0.0145
-4.1374 -3.3101 2.5211
Ni Zr Ca
2 1 1
direct
0.0373 0.0373 0.0000
0.2253 0.7253 0.5000
0.4731 0.4731 0.0000
0.7643 0.2643 0.5000
```


# 9
Here is TiGaTcIr after structural relaxation from Alexandria. Energies are from PBE-GGA.

Values from the calculation:
Energy of formation   -57.5 kJ per mole of atoms
Density   11.621 g/cm³
E above lowest polymorph   0 meV per atom
Magnetic moment   0.00 μB per cell

```
TiGaTcIr
1.0
-4.3365 -0.2330 -0.2774
-1.8774 -3.4383 -1.8947
-2.1823 -2.8911 2.4116
Ga Tc Ti Ir
1 1 1 1
direct
0.7500 0.7500 0.7500
0.0000 0.0000 0.0000
0.2500 0.2500 0.2500
0.5000 0.5000 0.5000
```


# 10
Here is YBe3Cd after structural relaxation from Alexandria. Energies are from PBE-GGA.

Values from the calculation:
Energy of formation   172.2 kJ per mole of atoms
Density   2.905 g/cm³
E above lowest polymorph   1223 meV per atom
Magnetic moment   0.85 μB per cell

```
YBe3Cd
1.0
-0.8182 -3.7085 3.3632
4.4045 -2.1533 -1.3029
2.3802 2.7100 3.5672
Cd Be Y
1 3 1
direct
0.5000 0.5000 0.5000
0.0000 0.5000 0.0000
0.0000 0.0000 0.5000
0.5000 0.0000 0.0000
0.0000 0.0000 0.0000
```


Q: The highest density belongs to which entry?
A: TiGaTcIr


Q: Among the records above, which one has the highest density?
A: TiGaTcIr


Q: Which value of magnetic moment does entry 5 give?
A: 0.00 μB per cell